Al5Zn2Ag4: relaxed, GGA-PBE.

Properties
Space-group type: No. 71
Formation energy from the elements, kJ/mol of atoms: 12.3
Final energy, eV per atom: -2.84

extended XYZ file:
```
11
Lattice="-1.507 3.462 9.508 1.507 -3.462 9.508 1.507 3.462 -9.508" Properties=species:S:1:pos:R:3 pbc="T T T"
Al 0.000 0.000 0.000
Al 1.507 1.401 -2.786
Al 1.507 1.401 2.786
Al 0.000 2.061 6.722
Al 0.000 2.061 12.294
Zn 1.507 0.000 7.666
Zn 0.000 3.462 1.842
Ag 1.507 0.000 5.057
Ag 1.507 2.079 0.000
Ag 0.000 1.384 9.508
Ag 0.000 3.462 4.451
```